# Pr3Nd12Hg

A relaxed structure of Pr3Nd12Hg (PBE, Alexandria).

a b c (Å): 5.1295 5.1295 20.8185
angles (deg): 90.00 90.00 90.00
With the nearest neighbours (Å) after each atom.
Space group P4/mmm (No. 123)
One atom of each set of equivalent atoms:
Pr1 0.0000 0.0000 0.0000 (multiplicity 1)  12 Nd 3.63-3.69
Pr2 0.0000 0.0000 0.2544 (multiplicity 2)  12 Nd 3.63-3.68
Nd1 0.0000 0.5000 0.1274 (multiplicity 4)  8 Nd 3.63-3.73, 4 Pr 3.68-3.69
Nd2 0.0000 0.5000 0.3813 (multiplicity 4)  2 Hg 3.56, 8 Nd 3.56-3.64, 2 Pr 3.68
Nd3 0.5000 0.5000 0.0000 (multiplicity 1)  4 Pr 3.63, 8 Nd 3.69
Nd4 0.5000 0.5000 0.2571 (multiplicity 2)  4 Pr 3.63, 8 Nd 3.64-3.73
Nd5 0.5000 0.5000 0.5000 (multiplicity 1)  8 Nd 3.56, 4 Hg 3.63
Hg1 0.0000 0.0000 0.5000 (multiplicity 1)  12 Nd 3.56-3.63

Output
Total energy, eV for the cell shown: -72.19

# PrNdHg4

A relaxed structure of PrNdHg4 (PBE, Alexandria).

a b c (Å): 8.5510 8.5510 8.5510
angles (deg): 90.00 90.00 90.00
With the nearest neighbours (Å) after each atom.
Space group F-43m (No. 216)
One atom of each set of equivalent atoms:
Pr1 0.0000 0.0000 0.0000 (multiplicity 4)  12 Hg 3.55, 4 Nd 3.70
Nd1 0.2500 0.2500 0.2500 (multiplicity 4)  12 Hg 3.55, 4 Pr 3.70
Hg1 0.1250 0.1250 0.6250 (multiplicity 16)  6 Hg 3.02

Output
Total energy, eV for the cell shown: -49.92
Excess energy over the best structure of this formula in the dataset, meV per atom: 146

# PrNd4Hg4

A relaxed structure of PrNd4Hg4 (PBE, Alexandria).

a b c (Å): 9.7150 9.7150 5.7694
angles (deg): 90.00 90.00 90.00
With the nearest neighbours (Å) after each atom.
Space group P4_2/n (No. 86, origin choice 2)
One atom of each set of equivalent atoms:
Pr1 0.2500 0.2500 0.2500 (multiplicity 2)  4 Hg 3.21, 4 Nd 3.50
Nd1 0.0942 0.8381 0.6507 (multiplicity 8)  4 Hg 3.19-3.24, 1 Nd 3.48, 1 Pr 3.50
Hg1 0.0456 0.1459 0.8497 (multiplicity 8)  4 Nd 3.19-3.24, 1 Pr 3.21, 3 Hg 3.36-3.44

Output
Total energy, eV for the cell shown: -54.92

# Pr6Nd3Hg

A relaxed structure of Pr6Nd3Hg (PBE, Alexandria).

a b c (Å): 10.6988 12.1901 5.4181
angles (deg): 90.00 90.00 90.00
With the nearest neighbours (Å) after each atom.
Space group Pnnm (No. 58)
One atom of each set of equivalent atoms:
Pr1 0.0716 0.2464 0.0000 (multiplicity 4)  1 Hg 3.10, 4 Nd 3.19-3.43
Pr2 0.1707 0.0777 0.5000 (multiplicity 4)  2 Hg 3.40, 5 Pr 3.56-3.78, 1 Nd 3.65
Pr3 0.2212 0.3850 0.5000 (multiplicity 4)  1 Hg 3.30, 2 Pr 3.57
Nd1 0.0000 0.5000 0.0000 (multiplicity 2)  2 Pr 3.19
Nd2 0.1183 0.7085 0.5000 (multiplicity 4)  3 Pr 3.35-3.43
Hg1 0.0000 0.0000 0.0000 (multiplicity 2)  8 Pr 3.10-3.40

Output
Total energy, eV for the cell shown: -86.28
Excess energy over the best structure of this formula in the dataset, meV per atom: 37

# Pr3Nd3Hg4

A relaxed structure of Pr3Nd3Hg4 (PBE, Alexandria).

a b c (Å): 3.8842 12.5813 12.5633
angles (deg): 90.00 90.00 90.00
With the nearest neighbours (Å) after each atom.
Space group Amm2 (No. 38)
One atom of each set of equivalent atoms:
Pr1 0.0000 0.0000 0.0000 (multiplicity 2)  6 Hg 3.21-3.30
Pr2 0.0000 0.1650 0.6638 (multiplicity 4)  6 Hg 3.21-3.30
Nd1 0.0000 0.0000 0.3291 (multiplicity 2)  6 Hg 3.19-3.28
Nd2 0.5000 0.2501 0.4142 (multiplicity 4)  4 Hg 3.46-3.49, 6 Pr 3.84-3.85, 2 Nd 3.85
Hg1 0.5000 0.0000 0.5302 (multiplicity 2)  4 Nd 3.19-3.47, 4 Pr 3.30, 1 Hg 3.35
Hg2 0.5000 0.0000 0.7965 (multiplicity 2)  6 Pr 3.21-3.30, 1 Hg 3.35, 2 Nd 3.47
Hg3 0.5000 0.1321 0.1656 (multiplicity 4)  4 Pr 3.21-3.30, 4 Nd 3.28-3.49, 1 Hg 3.32

Output
Total energy, eV for the cell shown: -66.80

# Pr3NdHg4

A relaxed structure of Pr3NdHg4 (PBE, Alexandria).

a b c (Å): 7.6869 7.7174 15.4929
angles (deg): 90.00 90.00 90.00
With the nearest neighbours (Å) after each atom.
Space group Fmmm (No. 69)
One atom of each set of equivalent atoms:
Pr1 0.0000 0.0000 0.0000 (multiplicity 4)  8 Hg 3.33
Pr2 0.0000 0.0000 0.2505 (multiplicity 8)  8 Hg 3.34-3.35
Nd1 0.0000 0.0000 0.5000 (multiplicity 4)  8 Hg 3.33
Hg1 0.2500 0.2500 0.1242 (multiplicity 16)  6 Pr 3.33-3.35, 2 Nd 3.33

Output
Total energy, eV for the cell shown: -96.46
Excess energy over the best structure of this formula in the dataset, meV per atom: 0

# Pr2Nd5Hg4

A relaxed structure of Pr2Nd5Hg4 (PBE, Alexandria).

a b c (Å): 24.8871 3.7927 7.6643
angles (deg): 90.00 91.01 90.00
With the nearest neighbours (Å) after each atom.
Space group C2/m (No. 12)
One atom of each set of equivalent atoms:
Pr1 0.2256 0.0000 0.2051 (multiplicity 4)  3 Hg 3.28-3.34, 1 Nd 3.64
Nd1 0.0000 0.0000 0.0000 (multiplicity 2)  4 Hg 3.19
Nd2 0.1051 0.5000 0.3558 (multiplicity 4)  4 Hg 3.20-3.25, 1 Nd 3.52
Nd3 0.1326 0.5000 0.9067 (multiplicity 4)  3 Hg 3.19-3.24, 1 Nd 3.52
Hg1 0.0246 0.5000 0.6766 (multiplicity 4)  1 Hg 2.95, 5 Nd 3.19-3.23
Hg2 0.1799 0.0000 0.6035 (multiplicity 4)  4 Nd 3.24-3.25, 3 Pr 3.28-3.34

Output
Total energy, eV for the cell shown: -73.33

# Pr2Nd2Hg7

A relaxed structure of Pr2Nd2Hg7 (PBE, Alexandria).

a b c (Å): 9.2914 10.9301 7.0299
angles (deg): 90.00 90.00 90.00
With the nearest neighbours (Å) after each atom.
Space group Cmmm (No. 65)
One atom of each set of equivalent atoms:
Pr1 0.1925 0.0000 0.0000 (multiplicity 4)  6 Hg 3.18-3.22
Nd1 0.0000 0.2918 0.5000 (multiplicity 4)  7 Hg 3.06-3.19
Hg1 0.0000 0.0000 0.5000 (multiplicity 2)  2 Nd 3.19
Hg2 0.0000 0.5000 0.2098 (multiplicity 4)  1 Hg 2.95, 2 Nd 3.06, 2 Pr 3.22
Hg3 0.2500 0.2500 0.2174 (multiplicity 8)  1 Hg 3.06, 2 Nd 3.09, 2 Pr 3.18

Output
Total energy, eV for the cell shown: -45.19

Calculated values (Bohr magnetons per cell) of magnetization for the records, taken in order: 0.0, 0.0, 0.0, 0.0, 0.0, 7.6, 0.0, 0.1.
Calculated values (eV/f.u.) of ΔE_f for the records, taken in order: -0.3, -1.7, -2.4, 0.1, -3.6, -3.8, -2.1, -1.4.